Model w:
A plane-wave DFT calculation with PBE was carried out for crystalline Y3TiPd at its relaxed geometry.

Lattice parameters (Å, degrees): 5.220 5.220 5.220 90.00 90.00 90.00
Space group Pm-3m (No. 221)
Unique sites:
Y 0.000 0.000 0.500
Ti 0.000 0.000 0.000
Pd 0.500 0.500 0.500

Its crystal system is cubic.

Model x:
A plane-wave DFT calculation with PBE was carried out for crystalline Y3TiPd at its relaxed geometry.

Lattice parameters (Å, degrees): 5.394 5.394 5.394 90.00 90.00 90.00
Space group Pm-3m (No. 221)
Unique sites:
Y 0.000 0.000 0.500
Ti 0.500 0.500 0.500
Pd 0.000 0.000 0.000

Its crystal system is cubic.

Of them, model x has the highest stability.

Model w:
A plane-wave DFT calculation with PBE was carried out for crystalline Y2TiPd at its relaxed geometry.

Lattice parameters (Å, degrees): 3.514 3.514 7.451 90.00 90.00 90.00
Space group P4/mmm (No. 123)
Unique sites:
Y 0.000 0.000 0.232
Ti 0.500 0.500 0.500
Pd 0.500 0.500 0.000

Its crystal system is tetragonal.

Model x:
A plane-wave DFT calculation with PBE was carried out for crystalline Y2TiPd at its relaxed geometry.

Lattice parameters (Å, degrees): 7.171 7.171 7.171 90.00 90.00 90.00
Space group Fm-3m (No. 225)
Unique sites:
Y 0.250 0.250 0.250
Ti 0.000 0.000 0.000
Pd 0.000 0.000 0.500

Its crystal system is cubic.

Model y:
A plane-wave DFT calculation with PBE was carried out for crystalline Y2TiPd at its relaxed geometry.

Lattice parameters (Å, degrees): 7.997 7.997 6.220 90.00 90.00 90.00
Space group I-42d (No. 122)
Unique sites:
Y 0.210 0.750 0.125
Ti 0.000 0.000 0.500
Pd 0.000 0.000 0.000

Its crystal system is tetragonal.

Of them, model w has the highest stability.

Model w:
A plane-wave DFT calculation with PBE was carried out for crystalline Ti2ZnPd4 at its relaxed geometry.

Lattice parameters (Å, degrees): 4.4595 4.4595 18.9540 90.00 90.00 120.00
Space group R-3m (No. 166, hexagonal axes)
Unique sites:
Ti 0.0000 0.0000 0.2271
Zn 0.0000 0.0000 0.5000
Pd 0.0000 0.0000 0.0887
Pd 0.0000 0.0000 0.3634

Its crystal system is trigonal.

Model x:
A plane-wave DFT calculation with PBE was carried out for crystalline Ti2ZnPd4 at its relaxed geometry.

Lattice parameters (Å, degrees): 6.493 5.159 7.295 90.00 114.67 90.00
Space group P2_1/m (No. 11)
Unique sites:
Ti 0.157 0.250 0.054
Ti 0.293 0.250 0.517
Zn 0.251 0.750 0.296
Pd 0.095 0.505 0.728
Pd 0.449 0.750 0.682
Pd 0.458 0.750 0.074

Its crystal system is monoclinic.

Of them, model w has the highest stability.

Model w:
A plane-wave DFT calculation with PBE was carried out for crystalline TiZnPd5 at its relaxed geometry.

Lattice parameters (Å, degrees): 9.422 9.367 6.658 90.00 121.43 90.00
Space group C2/c (No. 15)
Unique sites:
Ti 0.000 0.039 0.250
Zn 0.000 0.500 0.000
Pd 0.000 0.301 0.250
Pd 0.120 0.185 0.995
Pd 0.206 0.105 0.667

Its crystal system is monoclinic.

Model x:
A plane-wave DFT calculation with PBE was carried out for crystalline TiZnPd5 at its relaxed geometry.

Lattice parameters (Å, degrees): 4.020 4.020 6.888 90.00 90.00 90.00
Space group P4/mmm (No. 123)
Unique sites:
Ti 0.000 0.000 0.000
Zn 0.500 0.500 0.500
Pd 0.000 0.500 0.271
Pd 0.500 0.500 0.000

Its crystal system is tetragonal.

Of them, model x has the highest stability.

Model w:
A plane-wave DFT calculation with PBE was carried out for crystalline Ti3Zn7Pd2 at its relaxed geometry.

Lattice parameters (Å, degrees): 4.347 2.930 14.870 90.00 98.30 90.00
Space group P2/m (No. 10)
Unique sites:
Ti 0.000 0.000 0.000
Ti 0.315 0.500 0.631
Zn 0.075 0.500 0.148
Zn 0.231 0.000 0.462
Zn 0.409 0.000 0.819
Zn 0.500 0.500 0.000
Pd 0.147 0.000 0.292

Its crystal system is monoclinic.

Model x:
A plane-wave DFT calculation with PBE was carried out for crystalline Ti3Zn7Pd2 at its relaxed geometry.

Lattice parameters (Å, degrees): 5.060 2.750 13.342 90.00 95.64 90.00
Space group P2/m (No. 10)
Unique sites:
Ti 0.000 0.000 0.000
Ti 0.049 0.500 0.661
Zn 0.228 0.500 0.168
Zn 0.249 0.000 0.500
Zn 0.277 0.000 0.834
Zn 0.500 0.500 0.000
Pd 0.450 0.000 0.327

Its crystal system is monoclinic.

Of them, model x has the highest stability.

Model w:
A plane-wave DFT calculation with PBE was carried out for crystalline Ti4ZnPd at its relaxed geometry.

Lattice parameters (Å, degrees): 4.269 4.269 6.165 90.00 90.00 90.00
Space group P4/mmm (No. 123)
Unique sites:
Ti 0.000 0.500 0.248
Zn 0.000 0.000 0.000
Pd 0.500 0.500 0.500

Its crystal system is tetragonal.

Model x:
A plane-wave DFT calculation with PBE was carried out for crystalline Ti4ZnPd at its relaxed geometry.

Lattice parameters (Å, degrees): 3.092 3.092 10.164 90.00 90.00 90.00
Space group P4/mmm (No. 123)
Unique sites:
Ti 0.000 0.000 0.164
Ti 0.500 0.500 0.335
Zn 0.000 0.000 0.500
Pd 0.500 0.500 0.000

Its crystal system is tetragonal.

Of them, model x has the highest stability.

Model w:
A plane-wave DFT calculation with PBE was carried out for crystalline Ti3Zn2Pd at its relaxed geometry.

Lattice parameters (Å, degrees): 2.627 4.948 15.387 90.00 90.00 90.00
Space group Immm (No. 71)
Unique sites:
Ti 0.000 0.000 0.000
Ti 0.000 0.500 0.172
Zn 0.000 0.500 0.343
Pd 0.000 0.500 0.000

Its crystal system is orthorhombic.

Model x:
A plane-wave DFT calculation with PBE was carried out for crystalline Ti3Zn2Pd at its relaxed geometry.

Lattice parameters (Å, degrees): 3.186 3.186 9.275 90.00 90.00 90.00
Space group P4/mmm (No. 123)
Unique sites:
Ti 0.000 0.000 0.000
Ti 0.000 0.000 0.331
Zn 0.500 0.500 0.165
Pd 0.500 0.500 0.500

Its crystal system is tetragonal.

Of them, model x has the highest stability.

Model w:
A plane-wave DFT calculation with PBE was carried out for crystalline Ti3Zn4Pd4 at its relaxed geometry.

Lattice parameters (Å, degrees): 3.202 3.359 31.017 90.00 90.00 90.00
Space group Immm (No. 71)
Unique sites:
Ti 0.000 0.000 0.000
Ti 0.000 0.000 0.363
Zn 0.000 0.000 0.091
Zn 0.000 0.000 0.272
Pd 0.000 0.000 0.182
Pd 0.000 0.000 0.453

Its crystal system is orthorhombic.

Model x:
A plane-wave DFT calculation with PBE was carried out for crystalline Ti3Zn4Pd4 at its relaxed geometry.

Lattice parameters (Å, degrees): 2.930 7.346 16.380 90.00 90.00 90.00
Space group Immm (No. 71)
Unique sites:
Ti 0.000 0.000 0.000
Ti 0.000 0.500 0.106
Zn 0.000 0.318 0.348
Pd 0.000 0.000 0.258
Pd 0.000 0.194 0.500

Its crystal system is orthorhombic.

Of them, model w has the highest stability.